## Cs2FeOs (PBE-GGA)

Data for a geometry-optimized Cs2FeOs structure.

Cell: 9.7213 9.7213 9.7213 Å, 93.02 93.02 153.47°
Last column: magnetic moment on the atom in μB.
Sites, in units of the cell vectors:
Cs 0.6250 0.4267 0.3017  0.01
Cs 0.1250 0.3233 0.6983  0.01
Cs 0.5733 0.8750 0.1983  0.01
Cs 0.6767 0.3750 0.8017  0.01
Fe 0.7500 0.2500 0.5000  2.24
Fe 0.5000 0.5000 0.0000  2.24
Os 0.0000 0.0000 0.0000  0.86
Os 0.2500 0.7500 0.5000  0.86

Summary:
- Calculated volume: 49.93 A^3/atom
- Space group: I-42d (122)
- Formation energy: 1.326 eV/atom
- Total DFT energy (no corrections): -4.02 eV per atom

---

## KMgIN2 (PBE-GGA)

Data for a geometry-optimized KMgIN2 structure.

Cell: 5.0980 5.0980 6.8797 Å, 90.00 90.00 90.00°
Last column: magnetic moment on the atom in μB.
Sites, in units of the cell vectors:
K 0.0000 0.0000 0.0000  0.05
Mg 0.5000 0.5000 0.5000  -0.01
N 0.0000 0.5000 0.0000  1.59
N 0.5000 0.0000 0.0000  1.59
I 0.0000 0.0000 0.5000  0.00

Summary:
- Calculated volume: 35.76 A^3/atom
- Energy relative to the lowest polymorph listed for this composition: 998 meV/atom
- E_form (uncorrected): 1.63 eV/atom
- Space group: P4/mmm (123)
- Total DFT energy (no corrections): -2.55 eV per atom

---

## PmSc2In2Ag2 (PBE-GGA)

Data for a geometry-optimized PmSc2In2Ag2 structure.

Cell: 4.7674 4.7674 8.8508 Å, 74.38 74.38 60.00°
Sites, in units of the cell vectors:
Ag 0.5620 0.5620 0.3140
Ag 0.4380 0.4380 0.6860
Sc 0.1353 0.1353 0.5942
Sc 0.8647 0.8647 0.4058
In 0.7413 0.7413 0.7762
In 0.2587 0.2587 0.2238
Pm 0.0000 0.0000 0.0000

Summary:
- Calculated volume: 23.65 A^3/atom
- Space group: R-3m (166)
- Formation energy: -0.290 eV/atom
- Total DFT energy (no corrections): -4.37 eV per atom

---

- Look up the total DFT energy (no corrections) of the third one.
  -4.37 eV per atom